--- one ---
A plane-wave DFT calculation with PBE-GGA was carried out for an optimized crystal structure of PmAuSe2.

Properties
theoretical density = 8.57 g/cm³
volume = 387.62 Å³ per cell

```
PmAuSe2
1.0
6.383 0.000 0.000
0.000 7.414 0.000
0.000 0.000 8.191
Pm Au Se
4 4 8
Cartesian
1.093 0.269 2.048
1.093 3.438 6.143
5.290 3.976 2.048
5.290 7.145 6.143
3.175 5.560 0.000
3.175 5.560 4.096
3.208 1.853 0.000
3.208 1.853 4.096
0.461 5.560 0.000
0.461 5.560 4.096
2.371 0.627 6.143
2.371 3.080 2.048
4.012 4.333 6.143
4.012 6.787 2.048
5.922 1.853 0.000
5.922 1.853 4.096
```

--- two ---
A plane-wave DFT calculation with PBE-GGA was carried out for an optimized crystal structure of PmAuSe2.

Properties
DOS(E_F) = 0.00 states/eV/atom
theoretical density = 6.21 g/cm³
volume = 133.62 Å³ per cell

```
PmAuSe2
1.0
2.224 1.284 7.795
-2.224 1.284 7.795
0.000 -2.569 7.795
Pm Au Se
1 1 2
Cartesian
0.000 0.000 0.000
0.000 0.000 11.693
0.000 0.000 9.265
0.000 0.000 14.120
```

What should be chosen as the most stable of them? Choose one.

--- one ---
A plane-wave DFT calculation with PBE-GGA was carried out for an optimized crystal structure of Pm2Si3Au5.

Properties
DOS(E_F) = 0.43 states/eV/atom
theoretical density = 11.13 g/cm³
volume = 202.71 Å³ per cell

```
Pm2Si3Au5
1.0
4.331 0.000 0.000
0.000 4.331 0.000
0.000 0.000 10.806
Pm Si Au
2 3 5
Cartesian
0.000 2.166 2.651
2.166 0.000 8.155
0.000 0.000 0.000
0.000 2.166 9.527
2.166 0.000 1.279
0.000 0.000 5.403
0.000 2.166 7.190
2.166 0.000 3.616
2.166 2.166 0.000
2.166 2.166 5.403
```

--- two ---
A plane-wave DFT calculation with PBE-GGA was carried out for an optimized crystal structure of Pm2Si3Au5.

Properties
DOS(E_F) = 0.40 states/eV/atom
theoretical density = 11.28 g/cm³
volume = 400.07 Å³ per cell

```
Pm2Si3Au5
1.0
-5.113 6.321 3.095
5.113 -6.321 3.095
5.113 6.321 -3.095
Pm Si Au
4 6 10
Cartesian
2.492 1.640 0.000
2.492 -1.640 3.095
2.621 7.961 0.000
2.621 4.681 3.095
6.501 1.540 0.000
0.000 0.000 1.547
1.388 4.781 0.000
3.724 1.540 3.095
0.000 0.000 4.642
-1.388 4.781 3.095
5.113 -2.957 1.547
8.893 1.420 0.000
5.113 0.000 1.547
3.780 4.901 0.000
5.113 2.957 1.547
0.000 3.364 1.547
1.333 1.420 3.095
0.000 6.321 1.547
-3.780 4.901 3.095
0.000 9.278 1.547
```

What should be chosen as the most stable of them? Choose two.

--- one ---
A plane-wave DFT calculation with PBE-GGA was carried out for an optimized crystal structure of PmSiAu2.

Properties
DOS(E_F) = 0.68 states/eV/atom
theoretical density = 10.95 g/cm³
volume = 85.99 Å³ per cell

```
PmSiAu2
1.0
2.156 1.245 5.339
-2.156 1.245 5.339
0.000 -2.490 5.339
Pm Si Au
1 1 2
Cartesian
0.000 0.000 0.000
0.000 0.000 8.008
0.000 0.000 3.531
0.000 0.000 12.485
```

--- two ---
A plane-wave DFT calculation with PBE-GGA was carried out for an optimized crystal structure of PmSiAu2.

Properties
DOS(E_F) = 0.57 states/eV/atom
theoretical density = 11.28 g/cm³
volume = 83.44 Å³ per cell

```
PmSiAu2
1.0
4.409 0.000 0.000
0.000 4.409 0.000
0.000 0.000 4.292
Pm Si Au
1 1 2
Cartesian
0.000 0.000 0.000
2.205 2.205 0.000
0.000 2.205 2.146
2.205 0.000 2.146
```

--- three ---
A plane-wave DFT calculation with PBE-GGA was carried out for an optimized crystal structure of PmSiAu2.

Properties
DOS(E_F) = 0.54 states/eV/atom
theoretical density = 11.11 g/cm³
volume = 169.53 Å³ per cell

```
PmSiAu2
1.0
4.147 0.000 0.000
0.000 4.357 0.000
-1.986 0.000 9.384
Pm Si Au
2 2 4
Cartesian
0.041 1.089 2.066
2.120 3.268 7.318
0.043 1.089 6.144
2.117 3.268 3.240
0.043 3.268 4.734
0.052 1.089 8.565
2.108 3.268 0.819
2.118 1.089 4.650
```

What should be chosen as the most stable of them? Choose three.

--- one ---
A plane-wave DFT calculation with PBE-GGA was carried out for an optimized crystal structure of PmSiAu2.

Properties
DOS(E_F) = 0.46 states/eV/atom
theoretical density = 11.30 g/cm³
volume = 83.36 Å³ per cell

```
PmSiAu2
1.0
0.000 3.467 3.467
3.467 0.000 3.467
3.467 3.467 0.000
Pm Si Au
1 1 2
Cartesian
0.000 0.000 0.000
3.467 3.467 3.467
1.734 1.734 1.734
5.201 5.201 5.201
```

--- two ---
A plane-wave DFT calculation with PBE-GGA was carried out for an optimized crystal structure of PmSiAu2.

Properties
DOS(E_F) = 0.40 states/eV/atom
theoretical density = 10.98 g/cm³
volume = 85.76 Å³ per cell

```
PmSiAu2
1.0
3.753 0.000 0.000
0.000 3.753 0.000
0.000 0.000 6.088
Pm Si Au
1 1 2
Cartesian
0.000 0.000 0.000
0.000 0.000 3.044
1.877 1.877 1.612
1.877 1.877 4.476
```

--- three ---
A plane-wave DFT calculation with PBE-GGA was carried out for an optimized crystal structure of PmSiAu2.

Properties
DOS(E_F) = 0.49 states/eV/atom
theoretical density = 11.27 g/cm³
volume = 334.08 Å³ per cell

```
PmSiAu2
1.0
2.198 -8.411 0.000
2.198 8.411 0.000
0.000 0.000 9.038
Pm Si Au
4 4 8
Cartesian
0.000 0.000 0.000
0.000 0.000 4.519
2.198 4.895 6.778
2.198 -4.895 2.259
2.198 2.451 0.174
2.198 2.451 4.345
2.198 -2.451 4.693
2.198 -2.451 8.864
2.198 5.266 0.807
2.198 5.266 3.712
2.198 1.574 6.778
2.198 1.145 2.259
2.198 -1.145 6.778
2.198 -1.574 2.259
2.198 -5.266 5.325
2.198 -5.266 8.231
```

What should be chosen as the most stable of them? Choose three.

--- one ---
A plane-wave DFT calculation with PBE-GGA was carried out for an optimized crystal structure of Pm3Si3Au.

Properties
DOS(E_F) = 0.93 states/eV/atom
theoretical density = 6.23 g/cm³
volume = 381.61 Å³ per cell

```
Pm3Si3Au
1.0
8.660 0.000 0.000
-4.330 7.500 0.000
0.000 0.000 5.875
Pm Si Au
6 6 2
Cartesian
-2.395 5.201 1.469
1.023 2.825 1.469
2.958 0.527 4.406
1.372 6.974 1.469
3.307 4.675 4.406
6.725 2.299 4.406
-2.471 5.283 4.406
0.991 2.719 4.406
2.850 0.501 1.469
1.480 6.999 4.406
3.339 4.781 1.469
6.802 2.218 1.469
0.000 5.000 4.406
4.330 2.500 1.469
```

--- two ---
A plane-wave DFT calculation with PBE-GGA was carried out for an optimized crystal structure of Pm3Si3Au.

Properties
DOS(E_F) = 0.88 states/eV/atom
theoretical density = 7.32 g/cm³
volume = 162.37 Å³ per cell

```
Pm3Si3Au
1.0
-2.019 2.179 9.227
2.019 -2.179 9.227
2.019 2.179 -9.227
Pm Si Au
3 3 1
Cartesian
0.000 0.000 0.000
2.019 0.000 3.566
0.000 0.000 6.819
0.000 0.000 9.928
0.000 2.179 4.669
0.000 0.000 15.317
0.000 2.179 2.234
```

What should be chosen as the most stable of them? Choose two.

--- one ---
A plane-wave DFT calculation with PBE-GGA was carried out for an optimized crystal structure of Pm2Si3Au2.

Properties
DOS(E_F) = 0.42 states/eV/atom
theoretical density = 8.98 g/cm³
volume = 142.12 Å³ per cell

```
Pm2Si3Au2
1.0
5.283 -2.141 0.000
5.283 2.141 0.000
-2.280 0.000 6.283
Pm Si Au
2 3 2
Cartesian
0.778 0.000 1.809
7.507 0.000 4.474
4.185 0.000 0.434
4.143 0.000 3.141
4.100 0.000 5.848
-0.016 0.000 4.952
8.301 0.000 1.331
```

--- two ---
A plane-wave DFT calculation with PBE-GGA was carried out for an optimized crystal structure of Pm2Si3Au2.

Properties
DOS(E_F) = 0.31 states/eV/atom
theoretical density = 9.03 g/cm³
volume = 282.49 Å³ per cell

```
Pm2Si3Au2
1.0
2.199 -9.178 0.000
2.199 9.178 0.000
0.000 0.000 6.998
Pm Si Au
4 6 4
Cartesian
2.199 8.237 5.248
2.199 6.360 1.749
2.199 -6.360 5.248
2.199 -8.237 1.749
2.199 5.085 5.248
2.199 1.031 4.046
2.199 1.031 6.451
2.199 -1.031 0.547
2.199 -1.031 2.952
2.199 -5.085 1.749
2.199 3.384 0.352
2.199 3.384 3.147
2.199 -3.384 3.851
2.199 -3.384 6.646
```

What should be chosen as the most stable of them? Choose two.

--- one ---
A plane-wave DFT calculation with PBE-GGA was carried out for an optimized crystal structure of PmSiAu3.

Properties
DOS(E_F) = 0.34 states/eV/atom
theoretical density = 12.45 g/cm³
volume = 407.56 Å³ per cell

```
PmSiAu3
1.0
8.511 0.000 0.000
0.000 4.437 0.000
0.000 0.000 10.793
Pm Si Au
4 4 12
Cartesian
1.647 1.109 0.089
2.608 3.328 5.486
5.902 1.109 5.307
6.864 3.328 10.703
0.862 1.109 6.943
3.393 3.328 1.547
5.117 1.109 9.246
7.649 3.328 3.850
0.534 1.109 4.409
0.948 3.328 8.884
1.058 3.328 2.288
3.197 1.109 7.684
3.307 1.109 3.488
3.722 3.328 9.805
4.789 1.109 0.987
5.204 3.328 7.305
5.314 3.328 3.108
7.452 1.109 8.505
7.562 1.109 1.908
7.977 3.328 6.384
```

--- two ---
A plane-wave DFT calculation with PBE-GGA was carried out for an optimized crystal structure of PmSiAu3.

Properties
DOS(E_F) = 0.56 states/eV/atom
theoretical density = 11.28 g/cm³
volume = 112.44 Å³ per cell

```
PmSiAu3
1.0
4.827 0.000 0.000
0.000 4.827 0.000
0.000 0.000 4.827
Pm Si Au
1 1 3
Cartesian
0.000 0.000 0.000
2.413 2.413 2.413
0.000 2.413 2.413
2.413 0.000 2.413
2.413 2.413 0.000
```

--- three ---
A plane-wave DFT calculation with PBE-GGA was carried out for an optimized crystal structure of PmSiAu3.

Properties
DOS(E_F) = 0.42 states/eV/atom
theoretical density = 12.25 g/cm³
volume = 103.52 Å³ per cell

```
PmSiAu3
1.0
3.147 -3.140 0.000
3.147 3.140 0.000
-3.113 0.000 5.238
Pm Si Au
1 1 3
Cartesian
0.000 0.000 0.000
0.043 0.000 3.830
1.597 1.587 2.746
3.151 0.000 0.952
1.597 -1.587 2.746
```

What should be chosen as the most stable of them? Choose three.

--- one ---
A plane-wave DFT calculation with PBE-GGA was carried out for an optimized crystal structure of PmSm3Au2.

Properties
DOS(E_F) = 1.22 states/eV/atom
theoretical density = 9.36 g/cm³
volume = 351.19 Å³ per cell

```
PmSm3Au2
1.0
3.876 0.000 0.000
0.000 10.001 0.000
0.000 0.000 9.060
Pm Sm Au
2 6 4
Cartesian
0.000 0.738 0.000
0.000 9.263 4.530
0.000 2.827 5.897
0.000 7.173 1.366
1.938 2.180 2.970
1.938 4.281 8.873
1.938 5.720 4.343
1.938 7.821 7.500
0.000 4.313 2.344
0.000 5.688 6.874
1.938 0.695 6.526
1.938 9.306 1.996
```

--- two ---
A plane-wave DFT calculation with PBE-GGA was carried out for an optimized crystal structure of PmSm3Au2.

Properties
DOS(E_F) = 1.04 states/eV/atom
theoretical density = 9.61 g/cm³
volume = 342.06 Å³ per cell

```
PmSm3Au2
1.0
8.078 -2.650 0.000
8.078 2.650 0.000
-3.622 0.000 7.990
Pm Sm Au
2 6 4
Cartesian
1.450 0.000 1.650
11.084 0.000 6.341
-1.643 0.000 5.833
1.368 0.000 7.940
4.338 0.000 3.864
8.197 0.000 4.127
11.167 0.000 0.050
14.177 0.000 2.158
1.330 0.000 4.895
4.951 0.000 6.677
7.583 0.000 1.313
11.205 0.000 3.095
```

What should be chosen as the most stable of them? Choose one.